Here is a relaxed structure of ThSc2CdHg4 from the Alexandria database. Energies are from GGA-PBE.

Cell: 4.9031 4.9031 9.6505 Å, 75.28 75.28 60.00°
Element x y z (fractional)
Hg1 0.8751 0.8751 0.3746
Hg2 0.3868 0.3868 0.8397
Hg3 0.1249 0.1249 0.6254
Hg4 0.6132 0.6132 0.1603
Sc1 0.2383 0.2383 0.2850
Sc2 0.7617 0.7617 0.7150
Th1 0.0000 0.0000 0.0000
Cd1 0.5000 0.5000 0.5000

Values from the calculation:
V (Å³ per atom): 24.010
Space group: No. 166
DFT formation energy (kcal/mol of atoms): -6.02
Total DFT energy (no corrections) (eV/cell): -24.29
Magnetic moment (μB/atom): 0.000

Here is a relaxed structure of ThScCd2Hg5 from the Alexandria database. Energies are from GGA-PBE.

Cell: 5.1987 6.3721 8.6549 Å, 111.60 107.48 90.00°
Element x y z (fractional)
Hg1 0.3540 0.1279 0.7080
Hg2 0.3540 0.5801 0.7080
Hg3 0.6460 0.8721 0.2920
Hg4 0.0000 0.0000 0.0000
Hg5 0.6460 0.4199 0.2920
Cd1 0.1862 0.1862 0.3724
Cd2 0.8138 0.8138 0.6276
Th1 0.0000 0.5000 0.0000
Sc1 0.5000 0.0000 0.0000

Values from the calculation:
V (Å³ per atom): 28.032
Space group: No. 71
DFT formation energy (kcal/mol of atoms): 2.81
Total DFT energy (no corrections) (eV/cell): -15.99
Magnetic moment (μB/atom): 0.000

Here is a relaxed structure of ThScCdHg from the Alexandria database. Energies are from GGA-PBE.

Cell: 3.5200 3.5200 8.0086 Å, 90.00 90.00 90.00°
Element x y z (fractional)
Hg1 0.5000 0.5000 0.7829
Sc1 0.0000 0.0000 0.5759
Cd1 0.5000 0.5000 0.3548
Th1 0.0000 0.0000 0.0710

Values from the calculation:
Energy above the most stable polymorph in this dataset (meV per atom): 0
V (Å³ per atom): 24.807
Space group: No. 99
DFT formation energy (kcal/mol of atoms): -6.05
Total DFT energy (no corrections) (eV/cell): -16.02
Magnetic moment (μB/atom): 0.000

Here is a relaxed structure of ScTiCd2Hg from the Alexandria database. Energies are from GGA-PBE.

Cell: 5.2064 5.3612 5.2064 Å, 90.00 90.00 90.00°
Each line ends with the local moment (μB).
Element x y z (fractional)
Ti1 0.5000 0.5000 0.5000  1.78
Cd1 0.0000 0.0000 0.5000  -0.01
Cd2 0.5000 0.0000 0.0000  0.00
Sc1 0.0000 0.5000 0.0000  0.40
Hg1 0.0000 0.0000 0.0000  0.03

Values from the calculation:
V (Å³ per atom): 29.065
Space group: No. 123
DFT formation energy (kcal/mol of atoms): 17.72
Total DFT energy (no corrections) (eV/cell): -12.52
Magnetic moment (μB/atom): 0.612

Here is a relaxed structure of Sc4Tl2CdHg from the Alexandria database. Energies are from GGA-PBE.

Cell: 5.0384 5.0384 8.7253 Å, 73.22 73.22 60.00°
Each line ends with the local moment (μB).
Element x y z (fractional)
Sc1 0.8768 0.8768 0.3695  0.14
Sc2 0.3733 0.3733 0.8800  0.23
Sc3 0.6267 0.6267 0.1200  0.23
Sc4 0.1232 0.1232 0.6305  0.14
Tl1 0.7526 0.7526 0.7421  -0.01
Tl2 0.2474 0.2474 0.2579  -0.01
Hg1 0.0000 0.0000 0.0000  0.01
Cd1 0.5000 0.5000 0.5000  0.01

Values from the calculation:
V (Å³ per atom): 22.606
Space group: No. 166
DFT formation energy (kcal/mol of atoms): -7.38
Total DFT energy (no corrections) (eV/cell): -33.84
Magnetic moment (μB/atom): 0.140

Here is a relaxed structure of Tm2ScCdHg4 from the Alexandria database. Energies are from GGA-PBE.

Cell: 5.0493 5.0493 8.8829 Å, 73.49 73.49 60.00°
Element x y z (fractional)
Hg1 0.3791 0.3791 0.8626
Hg2 0.6209 0.6209 0.1374
Hg3 0.8684 0.8684 0.3947
Hg4 0.1316 0.1316 0.6053
Cd1 0.0000 0.0000 0.0000
Tm1 0.7448 0.7448 0.7657
Tm2 0.2552 0.2552 0.2343
Sc1 0.5000 0.5000 0.5000

Values from the calculation:
V (Å³ per atom): 23.158
Space group: No. 166
DFT formation energy (kcal/mol of atoms): -9.50
Total DFT energy (no corrections) (eV/cell): -20.69
Magnetic moment (μB/atom): 0.000

Here is a relaxed structure of Y2ScCdHg4 from the Alexandria database. Energies are from GGA-PBE.

Cell: 5.0904 5.0904 8.9630 Å, 73.50 73.50 60.00°
Element x y z (fractional)
Hg1 0.3797 0.3797 0.8609
Hg2 0.6203 0.6203 0.1391
Hg3 0.1322 0.1322 0.6035
Hg4 0.8678 0.8678 0.3965
Sc1 0.5000 0.5000 0.5000
Y1 0.7440 0.7440 0.7679
Y2 0.2560 0.2560 0.2321
Cd1 0.0000 0.0000 0.0000

Values from the calculation:
V (Å³ per atom): 23.752
Space group: No. 166
DFT formation energy (kcal/mol of atoms): -10.13
Total DFT energy (no corrections) (eV/cell): -24.90
Magnetic moment (μB/atom): 0.000

Here is a relaxed structure of YScCdHg from the Alexandria database. Energies are from GGA-PBE.

Cell: 5.1443 5.1443 5.1443 Å, 60.00 60.00 60.00°
Each line ends with the local moment (μB).
Element x y z (fractional)
Sc1 0.2500 0.2500 0.2500  0.10
Y1 0.7500 0.7500 0.7500  0.05
Cd1 0.0000 0.0000 0.0000  0.00
Hg1 0.5000 0.5000 0.5000  0.01

Values from the calculation:
V (Å³ per atom): 24.066
Space group: No. 216
DFT formation energy (kcal/mol of atoms): -8.85
Total DFT energy (no corrections) (eV/cell): -15.55
Magnetic moment (μB/atom): 0.064

Here is a relaxed structure of YScCd2Hg4 from the Alexandria database. Energies are from GGA-PBE.

Cell: 5.0202 5.0202 8.7388 Å, 73.31 73.31 60.00°
Element x y z (fractional)
Y1 0.0000 0.0000 0.0000
Hg1 0.6208 0.6208 0.1375
Hg2 0.3792 0.3792 0.8625
Hg3 0.8714 0.8714 0.3857
Hg4 0.1286 0.1286 0.6143
Cd1 0.2513 0.2513 0.2461
Cd2 0.7487 0.7487 0.7539
Sc1 0.5000 0.5000 0.5000

Values from the calculation:
V (Å³ per atom): 22.492
Space group: No. 166
DFT formation energy (kcal/mol of atoms): -7.28
Total DFT energy (no corrections) (eV/cell): -18.36
Magnetic moment (μB/atom): 0.000

Here is a relaxed structure of Sc4ZnCdHg2 from the Alexandria database. Energies are from GGA-PBE.

Cell: 4.9328 4.9328 8.5320 Å, 73.20 73.20 60.00°
Element x y z (fractional)
Zn1 0.5000 0.5000 0.5000
Sc1 0.6210 0.6210 0.1370
Sc2 0.1286 0.1286 0.6142
Sc3 0.8714 0.8714 0.3858
Sc4 0.3790 0.3790 0.8630
Hg1 0.7481 0.7481 0.7558
Hg2 0.2519 0.2519 0.2442
Cd1 0.0000 0.0000 0.0000

Values from the calculation:
V (Å³ per atom): 21.184
Space group: No. 166
DFT formation energy (kcal/mol of atoms): -8.63
Total DFT energy (no corrections) (eV/cell): -31.11
Magnetic moment (μB/atom): 0.000

Here is a relaxed structure of ScZnCdHg from the Alexandria database. Energies are from GGA-PBE.

Cell: 4.2228 4.2415 4.5468 Å, 90.00 90.00 90.00°
Element x y z (fractional)
Zn1 0.0000 0.5000 0.5000
Cd1 0.5000 0.0000 0.5000
Hg1 0.5000 0.5000 0.0000
Sc1 0.0000 0.0000 0.0000

Values from the calculation:
V (Å³ per atom): 20.359
Space group: No. 47
DFT formation energy (kcal/mol of atoms): -5.06
Total DFT energy (no corrections) (eV/cell): -9.70
Magnetic moment (μB/atom): 0.000

Here is a relaxed structure of Sc2ZnCdHg4 from the Alexandria database. Energies are from GGA-PBE.

Cell: 4.8936 4.8936 8.4851 Å, 73.24 73.24 60.00°
Element x y z (fractional)
Hg1 0.1277 0.1277 0.6170
Hg2 0.3781 0.3781 0.8657
Hg3 0.6219 0.6219 0.1343
Hg4 0.8723 0.8723 0.3830
Sc1 0.2506 0.2506 0.2482
Sc2 0.7494 0.7494 0.7518
Zn1 0.5000 0.5000 0.5000
Cd1 0.0000 0.0000 0.0000

Values from the calculation:
V (Å³ per atom): 20.741
Space group: No. 166
DFT formation energy (kcal/mol of atoms): -5.58
Total DFT energy (no corrections) (eV/cell): -17.99
Magnetic moment (μB/atom): 0.000

Q: Look up the total DFT energy (no corrections) of the third one.
A: -16.02 eV/cell

Copy entry 12 word for word.
Here is a relaxed structure of Sc2ZnCdHg4 from the Alexandria database. Energies are from GGA-PBE.

Cell: 4.8936 4.8936 8.4851 Å, 73.24 73.24 60.00°
Element x y z (fractional)
Hg1 0.1277 0.1277 0.6170
Hg2 0.3781 0.3781 0.8657
Hg3 0.6219 0.6219 0.1343
Hg4 0.8723 0.8723 0.3830
Sc1 0.2506 0.2506 0.2482
Sc2 0.7494 0.7494 0.7518
Zn1 0.5000 0.5000 0.5000
Cd1 0.0000 0.0000 0.0000

Values from the calculation:
V (Å³ per atom): 20.741
Space group: No. 166
DFT formation energy (kcal/mol of atoms): -5.58
Total DFT energy (no corrections) (eV/cell): -17.99
Magnetic moment (μB/atom): 0.000

Q: Which of these has the highest magnetic moment?
A: ScTiCd2Hg

Q: Which formula does entry 4 have?
A: ScTiCd2Hg